ZrNbGe after structural relaxation, computed with GGA-PBE.

Cell lengths 5.404, 5.404, 7.279 Å; angles 120.86, 120.86, 40.02 degrees
Atoms (fractional coordinates):
Zr 0.082 0.082 0.332
Zr 0.918 0.918 0.668
Nb 0.333 0.333 0.937
Nb 0.667 0.667 0.063
Ge 0.358 0.358 0.330
Ge 0.642 0.642 0.670

Summary:
Formation enthalpy at 0 K, kJ/mol of atoms: -52
VASP energy, eV/cell: -49.7
Space-group type: No. 12